Below is a relaxed structure of PrSm2PuBi4, with properties calculated at the PBE-GGA level.

Unit cell a=7.925 b=4.578 c=7.927 alpha=90.00 beta=109.45 gamma=90.00
Positions (direct):
Pr  0.000  0.000  0.000
Sm  0.000  0.500  0.500
Sm  0.500  0.000  0.500
Pu  0.500  0.500  0.000
Bi  0.254  0.000  0.750
Bi  0.255  0.500  0.253
Bi  0.745  0.500  0.747
Bi  0.746  0.000  0.250

Values from the calculation:
Symmetry = P2/m
ΔH_f (0 K) = -75.02 kJ per mole of atoms

***

Below is a relaxed structure of PrSmPu2Bi4, with properties calculated at the PBE-GGA level.

Unit cell a=7.894 b=4.575 c=7.936 alpha=90.00 beta=109.37 gamma=90.00
Positions (direct):
Pr  0.000  0.000  0.000
Sm  0.000  0.500  0.500
Pu  0.500  0.000  0.500
Pu  0.500  0.500  0.000
Bi  0.254  0.000  0.749
Bi  0.256  0.500  0.255
Bi  0.744  0.500  0.745
Bi  0.746  0.000  0.251

Values from the calculation:
Symmetry = P2/m
ΔH_f (0 K) = -59.62 kJ per mole of atoms

***

Below is a relaxed structure of Tb2PrPuBi4, with properties calculated at the PBE-GGA level.

Unit cell a=7.867 b=4.547 c=7.870 alpha=90.00 beta=109.46 gamma=90.00
Positions (direct):
Tb  0.000  0.000  0.000
Tb  0.000  0.500  0.500
Pr  0.500  0.000  0.500
Pu  0.500  0.500  0.000
Bi  0.243  0.500  0.244
Bi  0.245  0.000  0.752
Bi  0.755  0.000  0.248
Bi  0.757  0.500  0.756

Values from the calculation:
Symmetry = P2/m
ΔH_f (0 K) = -72.73 kJ per mole of atoms

***

Below is a relaxed structure of TbPr2PuBi4, with properties calculated at the PBE-GGA level.

Unit cell a=7.924 b=4.585 c=7.932 alpha=90.00 beta=109.44 gamma=90.00
Positions (direct):
Tb  0.000  0.000  0.000
Pr  0.500  0.000  0.500
Pr  0.500  0.500  0.000
Pu  0.000  0.500  0.500
Bi  0.241  0.000  0.748
Bi  0.241  0.500  0.246
Bi  0.759  0.000  0.252
Bi  0.759  0.500  0.754

Values from the calculation:
Symmetry = P2/m
ΔH_f (0 K) = -74.59 kJ per mole of atoms

***

Below is a relaxed structure of PrPuBiTe, with properties calculated at the PBE-GGA level.

Unit cell a=5.536 b=5.536 c=5.536 alpha=60.00 beta=60.00 gamma=60.00
Positions (direct):
Pr  0.000  0.000  0.000
Pu  0.500  0.500  0.500
Bi  0.750  0.750  0.750
Te  0.250  0.250  0.250

Values from the calculation:
Symmetry = F-43m
ΔE_f (raw) = -0.81 eV per atom

***

Below is a relaxed structure of PrPu2ThBi4, with properties calculated at the PBE-GGA level.

Unit cell a=7.929 b=4.595 c=7.951 alpha=90.00 beta=109.51 gamma=90.00
Positions (direct):
Pr  0.000  0.000  0.000
Pu  0.500  0.000  0.500
Pu  0.500  0.500  0.000
Th  0.000  0.500  0.500
Bi  0.254  0.000  0.750
Bi  0.256  0.500  0.254
Bi  0.744  0.500  0.746
Bi  0.746  0.000  0.250

Values from the calculation:
Symmetry = P2/m
ΔH_f (0 K) = -56.08 kJ per mole of atoms

***

Below is a relaxed structure of PrTmPu2Bi4, with properties calculated at the PBE-GGA level.

Unit cell a=7.866 b=4.541 c=7.866 alpha=90.00 beta=109.48 gamma=90.00
Positions (direct):
Pr  0.000  0.000  0.000
Tm  0.000  0.500  0.500
Pu  0.500  0.000  0.500
Pu  0.500  0.500  0.000
Bi  0.249  0.000  0.743
Bi  0.254  0.500  0.258
Bi  0.746  0.500  0.742
Bi  0.751  0.000  0.257

Values from the calculation:
Symmetry = P2/m
ΔH_f (0 K) = -56.74 kJ per mole of atoms

***

Below is a relaxed structure of PrTm2PuBi4, with properties calculated at the PBE-GGA level.

Unit cell a=7.810 b=4.521 c=7.828 alpha=90.00 beta=109.49 gamma=90.00
Positions (direct):
Pr  0.000  0.000  0.000
Tm  0.500  0.000  0.500
Tm  0.500  0.500  0.000
Pu  0.000  0.500  0.500
Bi  0.259  0.000  0.750
Bi  0.262  0.500  0.257
Bi  0.738  0.500  0.743
Bi  0.741  0.000  0.250

Values from the calculation:
Symmetry = P2/m
ΔH_f (0 K) = -67.90 kJ per mole of atoms

***

Below is a relaxed structure of RbPrBi2, with properties calculated at the PBE-GGA level.

Unit cell a=4.369 b=4.369 c=8.084 alpha=90.00 beta=90.00 gamma=90.00
Positions (direct):
Rb  0.000  0.000  0.000
Pr  0.000  0.000  0.500
Bi  0.500  0.500  0.308
Bi  0.500  0.500  0.692

Values from the calculation:
Symmetry = P4/mmm
ΔH_f (0 K) = -53.97 kJ per mole of atoms
Energy above the most stable polymorph in this dataset = 0 meV per atom

***

Below is a relaxed structure of RbPrBi, with properties calculated at the PBE-GGA level.

Unit cell a=8.020 b=8.020 c=8.020 alpha=147.69 beta=147.69 gamma=46.34
Positions (direct):
Rb  0.000  0.000  0.000
Pr  0.265  0.265  0.000
Bi  0.718  0.718  0.000

Values from the calculation:
Symmetry = I4mm
ΔH_f (0 K) = -32.80 kJ per mole of atoms

***

Below is a relaxed structure of RbPrBi2, with properties calculated at the PBE-GGA level.

Unit cell a=9.461 b=9.461 c=9.461 alpha=28.58 beta=28.58 gamma=28.58
Positions (direct):
Rb  0.000  0.000  0.000
Pr  0.500  0.500  0.500
Bi  0.234  0.234  0.234
Bi  0.766  0.766  0.766

Values from the calculation:
Symmetry = R-3m
ΔH_f (0 K) = -37.75 kJ per mole of atoms
Energy above the most stable polymorph in this dataset = 168 meV per atom

***

Below is a relaxed structure of RbPrBi, with properties calculated at the PBE-GGA level.

Unit cell a=13.966 b=13.966 c=13.966 alpha=21.90 beta=21.90 gamma=21.90
Positions (direct):
Rb  0.112  0.112  0.112
Rb  0.888  0.888  0.888
Pr  0.304  0.304  0.304
Pr  0.696  0.696  0.696
Bi  0.387  0.387  0.387
Bi  0.613  0.613  0.613

Values from the calculation:
Symmetry = R-3m
ΔH_f (0 K) = -41.33 kJ per mole of atoms

***

Below is a relaxed structure of Rb3Pr2BiS6, with properties calculated at the PBE-GGA level.

Unit cell a=7.343 b=7.343 c=8.095 alpha=98.69 beta=98.69 gamma=119.99
Positions (direct):
Rb  0.000  0.000  0.000
Rb  0.334  0.666  0.000
Rb  0.666  0.334  0.000
Pr  0.167  0.833  0.500
Pr  0.833  0.167  0.500
Bi  0.500  0.500  0.500
S  0.102  0.434  0.301
S  0.234  0.234  0.699
S  0.434  0.102  0.301
S  0.566  0.898  0.699
S  0.766  0.766  0.301
S  0.898  0.566  0.699

Values from the calculation:
Symmetry = C2/m
ΔE_f (raw) = -1.47 eV per atom

***

Below is a relaxed structure of Rb4Pr3BiS8, with properties calculated at the PBE-GGA level.

Unit cell a=9.142 b=9.142 c=9.142 alpha=55.32 beta=55.32 gamma=55.32
Positions (direct):
Rb  0.000  0.000  0.000
Rb  0.000  0.500  0.500
Rb  0.500  0.000  0.500
Rb  0.500  0.500  0.000
Pr  0.000  0.000  0.500
Pr  0.000  0.500  0.000
Pr  0.500  0.000  0.000
Bi  0.500  0.500  0.500
S  0.233  0.233  0.233
S  0.235  0.732  0.732
S  0.268  0.268  0.765
S  0.268  0.765  0.268
S  0.732  0.235  0.732
S  0.732  0.732  0.235
S  0.765  0.268  0.268
S  0.767  0.767  0.767

Values from the calculation:
Symmetry = R-3m
ΔE_f (raw) = -1.56 eV per atom

***

Below is a relaxed structure of Rb3PrBi2S6, with properties calculated at the PBE-GGA level.

Unit cell a=7.307 b=7.307 c=8.092 alpha=98.65 beta=98.65 gamma=120.00
Positions (direct):
Rb  0.000  0.000  0.000
Rb  0.332  0.668  0.000
Rb  0.668  0.332  0.000
Pr  0.500  0.500  0.500
Bi  0.167  0.833  0.500
Bi  0.833  0.167  0.500
S  0.098  0.434  0.300
S  0.231  0.231  0.700
S  0.434  0.098  0.300
S  0.566  0.902  0.700
S  0.769  0.769  0.300
S  0.902  0.566  0.700

Values from the calculation:
Symmetry = C2/m
ΔE_f (raw) = -1.13 eV per atom

***

Below is a relaxed structure of Rb3Pr3BiSe8, with properties calculated at the PBE-GGA level.

Unit cell a=9.613 b=9.613 c=9.613 alpha=53.69 beta=53.69 gamma=53.69
Positions (direct):
Rb  0.000  0.500  0.500
Rb  0.500  0.000  0.500
Rb  0.500  0.500  0.000
Pr  0.000  0.000  0.500
Pr  0.000  0.500  0.000
Pr  0.500  0.000  0.000
Bi  0.500  0.500  0.500
Se  0.234  0.234  0.234
Se  0.240  0.729  0.729
Se  0.271  0.271  0.760
Se  0.271  0.760  0.271
Se  0.729  0.240  0.729
Se  0.729  0.729  0.240
Se  0.760  0.271  0.271
Se  0.766  0.766  0.766

Values from the calculation:
Symmetry = R-3m
ΔE_f (raw) = -1.40 eV per atom

***

Below is a relaxed structure of Rb3PrBi2Se6, with properties calculated at the PBE-GGA level.

Unit cell a=7.582 b=7.582 c=8.418 alpha=98.63 beta=98.63 gamma=120.00
Positions (direct):
Rb  0.000  0.000  0.000
Rb  0.333  0.667  0.000
Rb  0.667  0.333  0.000
Pr  0.500  0.500  0.500
Bi  0.167  0.833  0.500
Bi  0.833  0.167  0.500
Se  0.097  0.433  0.298
Se  0.232  0.232  0.702
Se  0.433  0.097  0.298
Se  0.567  0.903  0.702
Se  0.768  0.768  0.298
Se  0.903  0.567  0.702

Values from the calculation:
Symmetry = C2/m
ΔE_f (raw) = -1.10 eV per atom

***

Below is a relaxed structure of Rb4Pr3BiSe8, with properties calculated at the PBE-GGA level.

Unit cell a=9.503 b=9.503 c=9.503 alpha=55.14 beta=55.14 gamma=55.14
Positions (direct):
Rb  0.000  0.000  0.000
Rb  0.000  0.500  0.500
Rb  0.500  0.000  0.500
Rb  0.500  0.500  0.000
Pr  0.000  0.000  0.500
Pr  0.000  0.500  0.000
Pr  0.500  0.000  0.000
Bi  0.500  0.500  0.500
Se  0.234  0.234  0.234
Se  0.236  0.733  0.733
Se  0.267  0.267  0.764
Se  0.267  0.764  0.267
Se  0.733  0.236  0.733
Se  0.733  0.733  0.236
Se  0.764  0.267  0.267
Se  0.766  0.766  0.766

Values from the calculation:
Symmetry = R-3m
ΔE_f (raw) = -1.49 eV per atom

***

Below is a relaxed structure of Rb3PrBi2Te6, with properties calculated at the PBE-GGA level.

Unit cell a=8.057 b=8.057 c=8.999 alpha=98.58 beta=98.58 gamma=120.00
Positions (direct):
Rb  0.000  0.000  0.000
Rb  0.333  0.667  0.000
Rb  0.667  0.333  0.000
Pr  0.500  0.500  0.500
Bi  0.167  0.833  0.500
Bi  0.833  0.167  0.500
Te  0.094  0.432  0.297
Te  0.230  0.230  0.703
Te  0.432  0.094  0.297
Te  0.568  0.906  0.703
Te  0.770  0.770  0.297
Te  0.906  0.568  0.703

Values from the calculation:
Symmetry = C2/m
ΔE_f (raw) = -0.88 eV per atom

***

Below is a relaxed structure of Rb2PrBiTe4, with properties calculated at the PBE-GGA level.

Unit cell a=8.113 b=4.641 c=8.983 alpha=90.00 beta=107.21 gamma=90.00
Positions (direct):
Rb  0.000  0.000  0.000
Rb  0.500  0.500  0.000
Pr  0.000  0.500  0.500
Bi  0.500  0.000  0.500
Te  0.238  0.000  0.705
Te  0.269  0.500  0.297
Te  0.731  0.500  0.703
Te  0.762  0.000  0.295

Values from the calculation:
Symmetry = P2/m
ΔE_f (raw) = -1.01 eV per atom

***

Below is a relaxed structure of Rb3Pr2BiTe6, with properties calculated at the PBE-GGA level.

Unit cell a=8.088 b=8.088 c=8.991 alpha=98.63 beta=98.63 gamma=120.00
Positions (direct):
Rb  0.000  0.000  0.000
Rb  0.333  0.667  0.000
Rb  0.667  0.333  0.000
Pr  0.167  0.833  0.500
Pr  0.833  0.167  0.500
Bi  0.500  0.500  0.500
Te  0.102  0.432  0.295
Te  0.239  0.239  0.705
Te  0.432  0.102  0.295
Te  0.568  0.898  0.705
Te  0.761  0.761  0.295
Te  0.898  0.568  0.705

Values from the calculation:
Symmetry = C2/m
ΔE_f (raw) = -1.14 eV per atom

***

Below is a relaxed structure of Pr4Bi8Rh3, with properties calculated at the PBE-GGA level.

Unit cell a=4.655 b=4.655 c=19.532 alpha=90.00 beta=90.00 gamma=90.00
Positions (direct):
Pr  0.000  0.500  0.112
Pr  0.000  0.500  0.616
Pr  0.500  0.000  0.384
Pr  0.500  0.000  0.888
Bi  0.000  0.000  0.248
Bi  0.000  0.000  0.752
Bi  0.000  0.500  0.421
Bi  0.000  0.500  0.929
Bi  0.500  0.000  0.071
Bi  0.500  0.000  0.579
Bi  0.500  0.500  0.247
Bi  0.500  0.500  0.753
Rh  0.000  0.000  0.000
Rh  0.000  0.000  0.500
Rh  0.500  0.500  0.500

Values from the calculation:
Symmetry = P-4m2
ΔH_f (0 K) = -57.68 kJ per mole of atoms

***

It is found that the density values, taken in the order of the records, are 9317 9920 9624 9291 9987 10319 10241 9934 6933 4923 6247 4353 4330 4241 4689 4713 5355 4953 5437 5300 5169 9984 kg/m3.
It is found that the magnetization values, taken in the order of the records, are 5.12 0.03 5.14 5.11 5.95 10.88 10.24 5.17 0.00 0.58 0.00 0.36 0.00 0.00 0.00 0.00 0.00 0.00 0.00 0.00 0.00 0.00 μB per formula unit.